Entry 1:
A geometry-optimized SbMo2F structure. Source: Alexandria, functional GGA+U.

Properties
SG: I-42d, No. 122
Calculated volume, Å³ per atom: 21.82
Crystal system: tetragonal
Distance to the lowest polymorph of the same formula, kJ/mol of atoms: 0.0
Total magnetic moment, μB per cell: 16.00

Lattice parameters (Å, degrees): 6.0978 6.0978 6.0978 109.51 109.51 109.39
Atoms (fractional coordinates):
Sb 0.0000 0.0000 0.0000
Sb 0.7500 0.2500 0.5000
Mo 0.1721 0.6250 0.0471
Mo 0.3750 0.4221 0.5471
Mo 0.5779 0.1250 0.9529
Mo 0.8750 0.8279 0.4529
F 0.2500 0.7500 0.5000
F 0.5000 0.5000 0.0000

Entry 2:
A geometry-optimized Sb2MoF structure. Source: Alexandria, functional GGA+U.

Properties
SG: Fm-3m, No. 225
Calculated volume, Å³ per atom: 20.04
Crystal system: cubic
Distance to the lowest polymorph of the same formula, kJ/mol of atoms: 0.0
Total magnetic moment, μB per cell: 3.16

Lattice parameters (Å, degrees): 4.8396 4.8396 4.8396 60.00 60.00 60.00
Atoms (fractional coordinates):
Sb 0.2500 0.2500 0.2500
Sb 0.7500 0.7500 0.7500
Mo 0.0000 0.0000 0.0000
F 0.5000 0.5000 0.5000

Entry 3:
A geometry-optimized Sb3MoF structure. Source: Alexandria, functional GGA+U.

Properties
SG: Pm-3m, No. 221
Calculated volume, Å³ per atom: 28.05
Crystal system: cubic
Distance to the lowest polymorph of the same formula, kJ/mol of atoms: 17.1
Total magnetic moment, μB per cell: 0.00

Lattice parameters (Å, degrees): 5.1954 5.1954 5.1954 90.00 90.00 90.00
Atoms (fractional coordinates):
Sb 0.0000 0.0000 0.5000
Sb 0.0000 0.5000 0.0000
Sb 0.5000 0.0000 0.0000
Mo 0.0000 0.0000 0.0000
F 0.5000 0.5000 0.5000

Entry 4:
A geometry-optimized Sb2MoF structure. Source: Alexandria, functional GGA+U.

Properties
SG: I-42d, No. 122
Calculated volume, Å³ per atom: 23.43
Crystal system: tetragonal
Distance to the lowest polymorph of the same formula, kJ/mol of atoms: 15.0
Total magnetic moment, μB per cell: 7.60

Lattice parameters (Å, degrees): 11.0880 11.0880 11.0880 158.22 158.22 30.99
Atoms (fractional coordinates):
Sb 0.1215 0.6250 0.9965
Sb 0.3750 0.3715 0.4965
Sb 0.6285 0.1250 0.0035
Sb 0.8750 0.8785 0.5035
Mo 0.0000 0.0000 0.0000
Mo 0.7500 0.2500 0.5000
F 0.2500 0.7500 0.5000
F 0.5000 0.5000 0.0000

Entry 5:
A geometry-optimized SbMoF2 structure. Source: Alexandria, functional GGA+U.

Properties
SG: R-3m, No. 166
Calculated volume, Å³ per atom: 21.93
Crystal system: trigonal
Distance to the lowest polymorph of the same formula, kJ/mol of atoms: 0.0
Total magnetic moment, μB per cell: 2.07

Lattice parameters (Å, degrees): 10.1645 10.1645 10.1645 18.02 18.02 18.02
Atoms (fractional coordinates):
Sb 0.0000 0.0000 0.0000
Mo 0.5000 0.5000 0.5000
F 0.1248 0.1248 0.1248
F 0.8752 0.8752 0.8752

Entry 6:
A geometry-optimized SbMoF2 structure. Source: Alexandria, functional GGA+U.

Properties
SG: Fm-3m, No. 225
Calculated volume, Å³ per atom: 17.04
Crystal system: cubic
Distance to the lowest polymorph of the same formula, kJ/mol of atoms: 43.2
Total magnetic moment, μB per cell: 4.92

Lattice parameters (Å, degrees): 4.5849 4.5849 4.5849 60.00 60.00 60.00
Atoms (fractional coordinates):
Sb 0.0000 0.0000 0.0000
Mo 0.5000 0.5000 0.5000
F 0.2500 0.2500 0.2500
F 0.7500 0.7500 0.7500

Entry 7:
A geometry-optimized SbMo3F structure. Source: Alexandria, functional GGA+U.

Properties
SG: Pm-3m, No. 221
Calculated volume, Å³ per atom: 34.82
Crystal system: cubic
Distance to the lowest polymorph of the same formula, kJ/mol of atoms: 6.8
Total magnetic moment, μB per cell: 14.00

Lattice parameters (Å, degrees): 5.5837 5.5837 5.5837 90.00 90.00 90.00
Atoms (fractional coordinates):
Sb 0.0000 0.0000 0.0000
Mo 0.0000 0.0000 0.5000
Mo 0.0000 0.5000 0.0000
Mo 0.5000 0.0000 0.0000
F 0.5000 0.5000 0.5000

Entry 8:
A geometry-optimized SnSb2MoF structure. Source: Alexandria, functional GGA+U.

Properties
SG: P4/mmm, No. 123
Energy, Ry per atom: -0.3051
Calculated volume, Å³ per atom: 23.89
Crystal system: tetragonal
Total magnetic moment, μB per cell: 3.75

Lattice parameters (Å, degrees): 4.9695 4.9695 4.8375 90.00 90.00 90.00
Atoms (fractional coordinates):
Sn 0.0000 0.0000 0.0000
Sb 0.0000 0.5000 0.5000
Sb 0.5000 0.0000 0.5000
Mo 0.5000 0.5000 0.0000
F 0.0000 0.0000 0.5000

Entry 9:
A geometry-optimized SbTe2MoF structure. Source: Alexandria, functional GGA+U.

Properties
SG: P4/mmm, No. 123
Calculated volume, Å³ per atom: 25.94
Crystal system: tetragonal
Distance to the lowest polymorph of the same formula, kJ/mol of atoms: 0.0
Total magnetic moment, μB per cell: 3.73

Lattice parameters (Å, degrees): 5.4720 5.4720 4.3320 90.00 90.00 90.00
Atoms (fractional coordinates):
Sb 0.0000 0.0000 0.0000
Te 0.0000 0.5000 0.5000
Te 0.5000 0.0000 0.5000
Mo 0.5000 0.5000 0.0000
F 0.0000 0.0000 0.5000

Entry 10:
A geometry-optimized SbTe2MoF structure. Source: Alexandria, functional GGA+U.

Properties
SG: P4/mmm, No. 123
Calculated volume, Å³ per atom: 29.03
Crystal system: tetragonal
Distance to the lowest polymorph of the same formula, kJ/mol of atoms: 16.3
Total magnetic moment, μB per cell: 0.13

Lattice parameters (Å, degrees): 5.2359 5.2359 5.2945 90.00 90.00 90.00
Atoms (fractional coordinates):
Sb 0.0000 0.0000 0.0000
Te 0.0000 0.5000 0.5000
Te 0.5000 0.0000 0.5000
Mo 0.0000 0.0000 0.5000
F 0.5000 0.5000 0.0000

Entry 11:
A geometry-optimized TlSbMoF6 structure. Source: Alexandria, functional GGA+U.

Properties
SG: P1, No. 1
Energy, Ry per atom: -0.3560
Calculated volume, Å³ per atom: 19.78
Crystal system: triclinic
Total magnetic moment, μB per cell: 2.00

Lattice parameters (Å, degrees): 5.5290 5.7138 6.2274 64.90 87.79 89.71
Atoms (fractional coordinates):
Tl 0.0000 0.0000 0.0000
Sb 0.4684 0.6839 0.6802
Mo 0.5534 0.3479 0.3019
F 0.2915 0.1003 0.5570
F 0.3814 0.6979 0.1942
F 0.4094 0.2977 0.0156
F 0.6911 0.4341 0.5818
F 0.7102 0.9688 0.4122
F 0.8484 0.5229 0.0789

Entry 12:
A geometry-optimized ScMoF2 structure. Source: Alexandria, functional GGA+U.

Properties
SG: I-42d, No. 122
Calculated volume, Å³ per atom: 21.60
Crystal system: tetragonal
Distance to the lowest polymorph of the same formula, kJ/mol of atoms: 0.0
Total magnetic moment, μB per cell: 9.96

Lattice parameters (Å, degrees): 7.0800 7.0800 7.0800 135.35 135.35 64.99
Atoms (fractional coordinates):
Sc 0.0000 0.0000 0.0000
Sc 0.7500 0.2500 0.5000
Mo 0.2500 0.7500 0.5000
Mo 0.5000 0.5000 0.0000
F 0.3750 0.1388 0.2638
F 0.8612 0.1250 0.2362
F 0.8750 0.1112 0.7362
F 0.8888 0.6250 0.7638

Entry 13:
A geometry-optimized ScMoF2 structure. Source: Alexandria, functional GGA+U.

Properties
SG: R-3m, No. 166
Calculated volume, Å³ per atom: 13.28
Crystal system: trigonal
Distance to the lowest polymorph of the same formula, kJ/mol of atoms: 24.3
Total magnetic moment, μB per cell: 0.00

Lattice parameters (Å, degrees): 7.7977 7.7977 7.7977 20.96 20.96 20.96
Atoms (fractional coordinates):
Sc 0.0000 0.0000 0.0000
Mo 0.5000 0.5000 0.5000
F 0.4012 0.4012 0.4012
F 0.5988 0.5988 0.5988

Entry 14:
A geometry-optimized ScMo2F structure. Source: Alexandria, functional GGA+U.

Properties
SG: Fm-3m, No. 225
Calculated volume, Å³ per atom: 21.15
Crystal system: cubic
Distance to the lowest polymorph of the same formula, kJ/mol of atoms: 33.3
Total magnetic moment, μB per cell: 8.66

Lattice parameters (Å, degrees): 4.9276 4.9276 4.9276 60.00 60.00 60.00
Atoms (fractional coordinates):
Sc 0.0000 0.0000 0.0000
Mo 0.2500 0.2500 0.2500
Mo 0.7500 0.7500 0.7500
F 0.5000 0.5000 0.5000